1.
DFT (SCAN) results for Sc2Fe3Si5 at its PBEsol-relaxed geometry.

Geometry as CIF:
```
data_Sc2Fe3Si5
_chemical_formula_sum 'Sc8 Fe12 Si20'
_cell_length_a 10.052
_cell_length_b 10.052
_cell_length_c 5.215
_cell_angle_alpha 90.00
_cell_angle_beta 90.00
_cell_angle_gamma 90.00
_space_group_name_H-M_alt 'P 4/m n c'
_space_group_IT_number 128
_space_group_name_Hall '-P 4 2n'
loop_
_atom_site_label
_atom_site_type_symbol
_atom_site_fract_x
_atom_site_fract_y
_atom_site_fract_z
Sc1 Sc 0.068 0.236 0.000
Fe1 Fe 0.000 0.500 0.250
Fe2 Fe 0.122 0.856 0.500
Si1 Si 0.000 0.000 0.247
Si2 Si 0.029 0.318 0.500
Si3 Si 0.178 0.678 0.250
```

Calculated values
The theoretical density is 5.01 g cm⁻³. For the total moment, the calculation gives 0.00 μB per formula unit. The value obtained for the total energy is -13.905 eV per atom. The crystal system is tetragonal.

=====

2.
DFT (SCAN) results for Sc2FeSi2 at its PBEsol-relaxed geometry.

Geometry as CIF:
```
data_Sc2FeSi2
_chemical_formula_sum 'Sc8 Fe4 Si8'
_cell_length_a 9.779
_cell_length_b 3.941
_cell_length_c 9.325
_cell_angle_alpha 90.00
_cell_angle_beta 118.65
_cell_angle_gamma 90.00
_space_group_name_H-M_alt 'C 1 2/m 1'
_space_group_IT_number 12
loop_
_space_group_symop_operation_xyz
'x,y,z'
'-x,-y,-z'
'-x,y,-z'
'x,-y,z'
'x+1/2,y+1/2,z'
'-x+1/2,-y+1/2,-z'
'-x+1/2,y+1/2,-z'
'x+1/2,-y+1/2,z'
loop_
_atom_site_label
_atom_site_type_symbol
_atom_site_fract_x
_atom_site_fract_y
_atom_site_fract_z
Sc1 Sc 0.001 0.000 0.172
Sc2 Sc 0.185 0.000 0.608
Fe1 Fe 0.229 0.500 0.874
Si1 Si 0.007 0.500 0.373
Si2 Si 0.147 0.500 0.066
```

Calculated values
The theoretical density is 4.25 g cm⁻³. For the total moment, the calculation gives 0.00 μB per formula unit. The value obtained for the total energy is -14.063 eV per atom. The crystal system is monoclinic.

=====

3.
DFT (SCAN) results for ScFe2Si at its PBEsol-relaxed geometry.

Geometry as CIF:
```
data_ScFe2Si
_chemical_formula_sum 'Sc4 Fe8 Si4'
_cell_length_a 5.961
_cell_length_b 5.961
_cell_length_c 5.961
_cell_angle_alpha 90.00
_cell_angle_beta 90.00
_cell_angle_gamma 90.00
_space_group_name_H-M_alt 'F -4 3 m'
_space_group_IT_number 216
_space_group_name_Hall 'F -4 2 3'
loop_
_atom_site_label
_atom_site_type_symbol
_atom_site_fract_x
_atom_site_fract_y
_atom_site_fract_z
Sc1 Sc 0.000 0.000 0.000
Fe1 Fe 0.000 0.000 0.500
Fe2 Fe 0.250 0.250 0.250
Si1 Si 0.250 0.250 0.750
```

Calculated values
The theoretical density is 5.79 g cm⁻³. For the total moment, the calculation gives 4.91 μB per formula unit. The value obtained for the total energy is -15.360 eV per atom. The crystal system is cubic.

=====

4.
DFT (SCAN) results for Sc2Fe3Si at its PBEsol-relaxed geometry.

Geometry as CIF:
```
data_Sc2Fe3Si
_chemical_formula_sum 'Sc4 Fe6 Si2'
_cell_length_a 4.9020
_cell_length_b 4.9020
_cell_length_c 7.7765
_cell_angle_alpha 90.00
_cell_angle_beta 90.00
_cell_angle_gamma 120.00
_space_group_name_H-M_alt 'P 63/m m c'
_space_group_IT_number 194
_space_group_name_Hall '-P 6c 2c'
loop_
_atom_site_label
_atom_site_type_symbol
_atom_site_fract_x
_atom_site_fract_y
_atom_site_fract_z
Sc1 Sc 0.3333 0.6667 0.0636
Fe1 Fe 0.1719 0.3437 0.7500
Si1 Si 0.0000 0.0000 0.0000
```

Calculated values
The theoretical density is 5.86 g cm⁻³. For the total moment, the calculation gives 4.38 μB per formula unit. The value obtained for the total energy is -15.946 eV per atom. The crystal system is hexagonal.

=====

5.
DFT (SCAN) results for Sc3Fe2Si3 at its PBEsol-relaxed geometry.

Geometry as CIF:
```
data_Sc3Fe2Si3
_chemical_formula_sum 'Sc12 Fe8 Si12'
_cell_length_a 3.906
_cell_length_b 9.804
_cell_length_c 12.753
_cell_angle_alpha 90.00
_cell_angle_beta 90.00
_cell_angle_gamma 90.00
_space_group_name_H-M_alt 'C m c m'
_space_group_IT_number 63
_space_group_name_Hall '-C 2c 2'
loop_
_atom_site_label
_atom_site_type_symbol
_atom_site_fract_x
_atom_site_fract_y
_atom_site_fract_z
Sc1 Sc 0.000 0.081 0.113
Sc2 Sc 0.000 0.362 0.250
Fe1 Fe 0.000 0.214 0.582
Si1 Si 0.000 0.328 0.750
Si2 Si 0.000 0.383 0.041
```

Calculated values
The theoretical density is 4.50 g cm⁻³. For the total moment, the calculation gives 0.00 μB per formula unit. The value obtained for the total energy is -14.323 eV per atom. The crystal system is orthorhombic.

=====

6.
DFT (SCAN) results for ScFeSi at its PBEsol-relaxed geometry.

Geometry as CIF:
```
data_ScFeSi
_chemical_formula_sum 'Sc4 Fe4 Si4'
_cell_length_a 6.474
_cell_length_b 4.027
_cell_length_c 6.531
_cell_angle_alpha 90.00
_cell_angle_beta 90.00
_cell_angle_gamma 90.00
_space_group_name_H-M_alt 'P n m a'
_space_group_IT_number 62
loop_
_space_group_symop_operation_xyz
'x,y,z'
'-x,-y,-z'
'-x+1/2,-y,z+1/2'
'x+1/2,y,-z+1/2'
'x+1/2,-y+1/2,-z+1/2'
'-x+1/2,y+1/2,z+1/2'
'-x,y+1/2,-z'
'x,-y+1/2,z'
loop_
_atom_site_label
_atom_site_type_symbol
_atom_site_fract_x
_atom_site_fract_y
_atom_site_fract_z
Sc1 Sc 0.015 0.250 0.190
Fe1 Fe 0.153 0.750 0.438
Si1 Si 0.200 0.250 0.609
```

Calculated values
The theoretical density is 5.03 g cm⁻³. For the total moment, the calculation gives 0.00 μB per formula unit. The value obtained for the total energy is -14.715 eV per atom. The crystal system is orthorhombic.

=====

7.
DFT (SCAN) results for Sc3FeSn at its PBEsol-relaxed geometry.

Geometry as CIF:
```
data_Sc3FeSn
_chemical_formula_sum 'Sc3 Fe1 Sn1'
_cell_length_a 5.248
_cell_length_b 5.248
_cell_length_c 5.248
_cell_angle_alpha 90.00
_cell_angle_beta 90.00
_cell_angle_gamma 90.00
_space_group_name_H-M_alt 'P m -3 m'
_space_group_IT_number 221
_space_group_name_Hall '-P 4 2 3'
loop_
_atom_site_label
_atom_site_type_symbol
_atom_site_fract_x
_atom_site_fract_y
_atom_site_fract_z
Sc1 Sc 0.000 0.000 0.500
Fe1 Fe 0.500 0.500 0.500
Sn1 Sn 0.000 0.000 0.000
```

Calculated values
The theoretical density is 3.56 g cm⁻³. For the total moment, the calculation gives 0.26 μB per formula unit. Its calculated formation energy is 0.744 eV/atom. The value obtained for the total energy is -18.608 eV per atom. The crystal system is cubic.

=====

8.
DFT (SCAN) results for SrSc3Fe at its PBEsol-relaxed geometry.

Geometry as CIF:
```
data_SrSc3Fe
_chemical_formula_sum 'Sr1 Sc3 Fe1'
_cell_length_a 4.965
_cell_length_b 4.965
_cell_length_c 4.965
_cell_angle_alpha 90.00
_cell_angle_beta 90.00
_cell_angle_gamma 90.00
_space_group_name_H-M_alt 'P m -3 m'
_space_group_IT_number 221
_space_group_name_Hall '-P 4 2 3'
loop_
_atom_site_label
_atom_site_type_symbol
_atom_site_fract_x
_atom_site_fract_y
_atom_site_fract_z
Sr1 Sr 0.000 0.000 0.000
Sc1 Sc 0.000 0.500 0.500
Fe1 Fe 0.500 0.500 0.500
```

Calculated values
For the polymorph energy (0 for the lowest one), the calculation gives 0.00 eV per formula unit. The theoretical density is 3.78 g cm⁻³. For the total moment, the calculation gives 0.03 μB per formula unit. Its calculated formation energy is 0.103 eV/atom. The value obtained for the total energy is -16.520 eV per atom. The crystal system is cubic.